Zn2CoRu4: relaxed, PBE.

CIF file:
```
data_Zn2CoRu4
_space_group_name_H-M_alt 'P 1'
_space_group_IT_number 1
_cell_length_a 4.416
_cell_length_b 4.416
_cell_length_c 7.046
_cell_angle_alpha 71.73
_cell_angle_beta 71.73
_cell_angle_gamma 90.00
loop_
_space_group_symop_operation_xyz
'x,y,z'
loop_
_atom_site_label
_atom_site_type_symbol
_atom_site_fract_x
_atom_site_fract_y
_atom_site_fract_z
Ru1 Ru 0.819 0.819 0.361
Ru2 Ru 0.181 0.181 0.639
Ru3 Ru 0.000 0.500 0.000
Ru4 Ru 0.500 0.000 0.000
Zn1 Zn 0.620 0.620 0.760
Zn2 Zn 0.380 0.380 0.240
Co1 Co 0.000 0.000 0.000
```

Calculated values
Formation enthalpy at 0 K (eV/f.u.): 8.45